# PBE-GGA NaSrErF6, optimized geometry
data_NaSrErF6
_symmetry_space_group_name_H-M 'P -3 1 c'
_symmetry_Int_Tables_number 163
_symmetry_space_group_name_Hall '-P 3 2c'
_cell_length_a 5.8737
_cell_length_b 5.8737
_cell_length_c 10.3046
_cell_angle_alpha 90.00
_cell_angle_beta 90.00
_cell_angle_gamma 120.00
loop_
_atom_site_label
_atom_site_fract_x
_atom_site_fract_y
_atom_site_fract_z
_atom_site_occupancy
Na1 0.3333 0.6667 0.2500 1
Sr1 0.0000 0.0000 0.0000 1
Er1 0.3333 0.6667 0.7500 1
F1 0.0224 0.3556 0.6364 1
# * DOS at the Fermi energy: 0.00 states/eV per cell
# * V: 17.10 A^3/atom
# * ΔE_f (raw): -362.2 kJ/mol of atoms
# * crystal system: trigonal